Record 1
Computed, not measured: a relaxed Tb3Er2 crystal at the PBE level of DFT.

Calculated values
Formation energy   143 meV per atom
Raw total energy   -4.4602 eV per atom

Unit cell a=6.560 b=15.758 c=6.125 alpha=90.00 beta=90.00 gamma=90.00
Space group Ibam (No. 72)
Unique sites:
1 Tb 0.000 0.000 0.250
2 Tb 0.114 0.406 0.000
3 Er 0.144 0.192 0.000

***

Record 2
Computed, not measured: a relaxed Tb2Er crystal at the PBE level of DFT.

Calculated values
Formation energy   125 meV per atom
Distance to the lowest polymorph of the same formula   107.2 meV per atom
Raw total energy   -4.4832 eV per atom

Unit cell a=5.865 b=5.873 c=10.964 alpha=90.00 beta=90.00 gamma=90.00
Space group Fmmm (No. 69)
Unique sites:
1 Tb 0.000 0.000 0.164
2 Er 0.000 0.000 0.500

***

Record 3
Computed, not measured: a relaxed Tb2Er crystal at the PBE level of DFT.

Calculated values
Formation energy   219 meV per atom
Distance to the lowest polymorph of the same formula   201.9 meV per atom
Raw total energy   -4.3884 eV per atom

Unit cell a=4.802 b=4.802 c=17.098 alpha=90.00 beta=90.00 gamma=90.00
Space group I4/mmm (No. 139)
Unique sites:
1 Tb 0.000 0.000 0.152
2 Tb 0.000 0.500 0.000
3 Er 0.000 0.000 0.351

***

Record 4
Computed, not measured: a relaxed TbEr5 crystal at the PBE level of DFT.

Calculated values
Formation energy   22 meV per atom
Raw total energy   -4.5525 eV per atom

Unit cell a=4.959 b=14.884 c=4.957 alpha=90.00 beta=90.00 gamma=90.00
Space group Cmmm (No. 65)
Unique sites:
1 Tb 0.000 0.000 0.000
2 Er 0.000 0.167 0.500
3 Er 0.000 0.333 0.000
4 Er 0.000 0.500 0.500

***

Record 5
Computed, not measured: a relaxed Tb6Er7 crystal at the PBE level of DFT.

Calculated values
Formation energy   269 meV per atom
Raw total energy   -4.3248 eV per atom

Unit cell a=6.4982 b=6.4982 c=34.7727 alpha=90.00 beta=90.00 gamma=120.00
Space group R-3m (No. 166, hexagonal axes)
Unique sites:
1 Tb 0.0000 0.0000 0.0466
2 Tb 0.0000 0.0000 0.1487
3 Tb 0.0000 0.0000 0.3335
4 Er 0.0000 0.0000 0.5000
5 Er 0.0027 0.5014 0.9126

***

Record 6
Computed, not measured: a relaxed Tb5Er7 crystal at the PBE level of DFT.

Calculated values
Formation energy   197 meV per atom
Distance to the lowest polymorph of the same formula   193.4 meV per atom
Raw total energy   -4.3938 eV per atom

Unit cell a=9.556 b=5.606 c=14.532 alpha=90.00 beta=102.98 gamma=90.00
Space group C2/m (No. 12)
Unique sites:
1 Tb 0.000 0.000 0.000
2 Tb 0.113 0.500 0.804
3 Tb 0.143 0.000 0.438
4 Er 0.000 0.500 0.500
5 Er 0.057 0.000 0.213
6 Er 0.188 0.500 0.079
7 Er 0.233 0.000 0.673

***

Record 7
Computed, not measured: a relaxed Tb2Er13 crystal at the PBE level of DFT.

Calculated values
Formation energy   606 meV per atom
Distance to the lowest polymorph of the same formula   553.8 meV per atom
Raw total energy   -3.9658 eV per atom

Unit cell a=8.7459 b=8.7459 c=23.6967 alpha=90.00 beta=90.00 gamma=120.00
Space group R-3m (No. 166, hexagonal axes)
Unique sites:
1 Tb 0.0000 0.0000 0.2425
2 Er 0.0000 0.0000 0.5000
3 Er 0.0880 0.5440 0.3027
4 Er 0.0929 0.5464 0.5588

***

Record 8
Computed, not measured: a relaxed Tb2Er7 crystal at the PBE level of DFT.

Calculated values
Formation energy   25 meV per atom
Distance to the lowest polymorph of the same formula   0.0 meV per atom
Raw total energy   -4.5528 eV per atom

Unit cell a=6.0793 b=6.0793 c=8.5977 alpha=90.00 beta=90.00 gamma=120.00
Space group P-31m (No. 162)
Unique sites:
1 Tb 0.3333 0.6667 0.0000
2 Er 0.0000 0.0000 0.0000
3 Er 0.0000 0.3331 0.6656

***

Taking the records one at a time from the top gives theoretical density values of 8.51, 8.53, 8.17, 9.03, 8.32, 8.60, 7.91, 8.98 g/cm³.